Entry from the Alexandria database: a geometry-optimized SrCuAu structure (PBE-GGA).

Formation energy from the elements ... -0.278 eV per atom
Calculated density ... 8.4 g/cm³
Crystal system ... tetragonal
Uncorrected energy ... -9.9 eV/cell
Offset from the most stable computed form ... 194 meV per atom

```
SrCuAu
1.0
-0.8771 -5.7363 0.1601
1.9479 -5.0819 -2.0199
2.2394 -1.4205 2.4756
Au Cu Sr
1 1 1
Cartesian
1.1109 -10.4952 -1.7108
1.8068 -4.8997 0.8705
1.4632 -7.6621 -0.4038
```